Entry 1:
MgIn6Ag10 | GGA-PBE | optimized geometry

```
MgIn6Ag10
1.0
-4.2067 3.9169 -1.2413
-1.0689 -3.4970 -7.4123
-4.3807 -2.6483 6.4892
Ag Mg In
10 1 6
Direct
0.0000 0.6667 0.3333
0.8273 0.0000 0.2984
0.1727 0.0000 0.7016
0.8273 0.7016 0.7016
0.0000 0.3333 0.6667
0.5000 0.3333 0.6667
0.1727 0.2984 0.2984
0.5000 0.6667 0.3333
0.1727 0.7016 0.0000
0.8273 0.2984 0.0000
0.5000 0.0000 0.0000
0.3099 0.6446 0.6446
0.6901 0.6446 0.0000
0.6901 0.3554 0.3554
0.6901 0.0000 0.6446
0.3099 0.0000 0.3554
0.3099 0.3554 0.0000
```

Crystal system = trigonal
Spin magnetization = 0.000 μB per atom
Formation energy from the elements = 0.4 eV/f.u.
E_tot = -46.136 eV/cell
SG = P-31m, No. 162

***

Entry 2:
BaTe2As | GGA-PBE | optimized geometry

```
BaTe2As
1.0
6.5132 -0.0249 0.0000
3.1329 5.7103 0.0000
-4.8231 -2.8427 3.3286
Te Ba As
2 1 1
Direct
0.0000 0.0000 0.0000
0.2500 0.7500 0.5000
0.7500 0.2500 0.5000
0.5000 0.5000 0.0000
```

Crystal system = tetragonal
Spin magnetization = 0.000 μB per atom
E_tot = -14.781 eV/cell
SG = I-4m2, No. 119

***

Entry 3:
BaIn2Pt2 | GGA-PBE | optimized geometry

```
BaIn2Pt2
1.0
-1.7690 -8.2652 -1.0685
8.2879 -1.6300 -1.1131
0.3154 -0.4577 3.0184
Pt Ba In
4 2 4
Direct
0.3272 0.1728 0.5000
0.1728 0.6728 0.5000
0.8272 0.3272 0.5000
0.6728 0.8272 0.5000
0.0000 0.0000 0.0000
0.5000 0.5000 0.0000
0.3764 0.8764 0.0000
0.6236 0.1236 0.0000
0.1236 0.3764 0.0000
0.8764 0.6236 0.0000
```

Crystal system = tetragonal
Spin magnetization = 0.000 μB per atom
Formation energy from the elements = -2.0 eV/f.u.
E_tot = -42.931 eV/cell
SG = P4/mbm, No. 127

***

Entry 4:
Pb4Br4Cl3 | GGA-PBE | optimized geometry

```
Pb4Br4Cl3
1.0
3.9262 0.0000 0.0000
0.0000 9.6029 0.0000
-1.9631 -4.8014 8.7803
Br Cl Pb
4 3 4
Direct
0.6686 0.8553 0.3372
0.6686 0.4819 0.3372
0.3314 0.1447 0.6628
0.3314 0.5181 0.6628
0.0000 0.5000 0.0000
0.8962 0.8962 0.7923
0.1038 0.1038 0.2077
0.7303 0.2303 0.4606
0.2697 0.7697 0.5394
0.5000 0.2550 0.0000
0.5000 0.7450 0.0000
```

Crystal system = orthorhombic
Spin magnetization = 0.000 μB per atom
E_tot = -36.397 eV/cell
SG = Immm, No. 71